This record from the Open Quantum Materials Database describes a relaxed YTlFeTc crystal. The functional is PBE-GGA.

Size of the total moment in μB/cell: 2.9
Crystal system: cubic
Offset from the most stable computed form in meV/atom: 0
V in Å³ per cell: 73.4

Geometry as POSCAR:
```
YTlFeTc
1.0
0.000 3.323 3.323
3.323 0.000 3.323
3.323 3.323 0.000
Y Tl Fe Tc
1 1 1 1
Direct
0.000 0.000 0.000 Y
0.500 0.500 0.500 Tl
0.750 0.750 0.750 Fe
0.250 0.250 0.250 Tc
```